Record 1
Computed, not measured: a geometry-optimized SrPdSe2O8 structure at the PBE level of DFT.

Computed properties:
Total energy = -0.3987 Ry/atom
Formation energy (no corrections) = -966 meV per atom
V = 14.06 A^3/atom

```
SrPdSe2O8
1.0
2.552 1.473 7.479
-2.552 1.473 7.479
0.000 -2.946 7.479
Sr Pd Se O
1 1 2 8
Cartesian
0.000 0.000 0.000
0.000 0.000 11.218
0.000 0.000 5.560
0.000 0.000 16.877
-0.932 -1.535 9.866
-1.795 0.039 12.571
0.000 0.000 7.239
-0.864 1.575 9.866
0.864 -1.575 12.571
0.000 0.000 15.198
1.795 -0.039 9.866
0.932 1.535 12.571
```

Record 2
Computed, not measured: a geometry-optimized TaPd2SeO structure at the PBE level of DFT.

Computed properties:
Total energy = -0.4088 Ry/atom
Formation energy (no corrections) = 574 meV per atom
V = 17.10 A^3/atom

```
TaPd2SeO
1.0
4.814 0.000 0.000
0.000 4.814 0.000
0.000 0.000 3.690
Ta Pd Se O
1 2 1 1
Cartesian
0.000 0.000 0.000
0.000 2.407 1.845
2.407 0.000 1.845
2.407 2.407 1.845
2.407 2.407 0.000
```

Record 3
Computed, not measured: a geometry-optimized Ta2PdSeO structure at the PBE level of DFT.

Computed properties:
Total energy = -0.4574 Ry/atom
Formation energy (no corrections) = 1245 meV per atom
V = 20.43 A^3/atom

```
Ta2PdSeO
1.0
4.754 0.000 0.000
0.000 4.754 0.000
0.000 0.000 4.521
Ta Pd Se O
2 1 1 1
Cartesian
0.000 2.377 0.000
2.377 0.000 0.000
0.000 0.000 2.261
0.000 0.000 0.000
2.377 2.377 2.261
```

Record 4
Computed, not measured: a geometry-optimized Tl3PdSe2O8 structure at the PBE level of DFT.

Computed properties:
Total energy = -0.3541 Ry/atom
Formation energy (no corrections) = -608 meV per atom
V = 17.76 A^3/atom

```
Tl3PdSe2O8
1.0
6.036 0.000 0.000
-3.018 5.227 0.000
0.000 0.000 7.880
Tl Pd Se O
3 1 2 8
Cartesian
0.000 0.000 0.000
0.000 3.485 5.351
3.018 1.742 2.529
0.000 0.000 3.940
0.000 3.485 1.830
3.018 1.742 6.050
0.000 1.879 2.410
-1.390 4.288 2.410
0.000 3.485 0.164
1.627 0.940 5.470
1.390 4.288 2.410
3.018 1.742 7.716
4.408 0.940 5.470
3.018 3.348 5.470
```

Record 5
Computed, not measured: a geometry-optimized Tl2PdSeO4 structure at the PBE level of DFT.

Computed properties:
Total energy = -0.3369 Ry/atom
Formation energy (no corrections) = -429 meV per atom
V = 19.79 A^3/atom

```
Tl2PdSeO4
1.0
0.000 5.543 9.234
3.094 0.000 9.234
3.094 5.543 0.000
Tl Pd Se O
4 2 2 8
Cartesian
2.320 4.157 0.815
3.867 6.928 5.432
2.320 4.157 13.037
3.867 6.928 17.654
0.773 1.386 2.309
5.414 9.700 16.160
2.320 4.157 6.926
3.867 6.928 11.543
3.334 3.161 6.016
3.334 5.153 7.836
4.881 5.933 12.453
1.306 3.161 7.836
4.881 7.924 10.633
1.306 5.153 6.016
2.853 5.933 10.633
2.853 7.924 12.453
```

Record 6
Computed, not measured: a geometry-optimized TlPdSe2O6 structure at the PBE level of DFT.

Computed properties:
Total energy = -0.3663 Ry/atom
Formation energy (no corrections) = -556 meV per atom
V = 16.90 A^3/atom

```
TlPdSe2O6
1.0
2.708 1.564 6.651
-2.708 1.564 6.651
0.000 -3.127 6.651
Tl Pd Se O
1 1 2 6
Cartesian
0.000 0.000 0.000
0.000 0.000 9.976
0.000 0.000 5.168
0.000 0.000 14.785
-1.680 -0.284 8.689
-0.594 -1.597 11.263
1.086 -1.312 8.689
-1.086 1.312 11.263
0.594 1.597 8.689
1.680 0.284 11.263
```

Record 7
Computed, not measured: a geometry-optimized Tl2PdSe2O6 structure at the PBE level of DFT.

Computed properties:
Total energy = -0.3531 Ry/atom
Formation energy (no corrections) = -563 meV per atom
V = 22.26 A^3/atom

```
Tl2PdSe2O6
1.0
2.992 1.727 7.896
-2.992 1.727 7.896
0.000 -3.455 7.896
Tl Pd Se O
2 1 2 6
Cartesian
0.000 0.000 5.402
0.000 0.000 18.288
0.000 0.000 11.845
0.000 0.000 1.962
0.000 0.000 21.728
-1.614 -0.932 13.154
0.000 -1.863 10.536
-1.614 0.932 10.536
1.614 -0.932 13.154
0.000 1.863 13.154
1.614 0.932 10.536
```

Record 8
Computed, not measured: a geometry-optimized TlPdSe2O8 structure at the PBE level of DFT.

Computed properties:
Total energy = -0.3717 Ry/atom
Formation energy (no corrections) = -541 meV per atom
V = 16.38 A^3/atom

```
TlPdSe2O8
1.0
2.523 1.457 8.913
-2.523 1.457 8.913
0.000 -2.913 8.913
Tl Pd Se O
1 1 2 8
Cartesian
0.000 0.000 0.000
0.000 0.000 13.369
0.000 0.000 6.259
0.000 0.000 20.480
-1.681 -0.073 12.091
-0.777 -1.493 14.647
0.000 0.000 7.917
0.904 -1.420 12.091
-0.904 1.420 14.647
0.000 0.000 18.821
0.777 1.493 12.091
1.681 0.073 14.647
```

Record 9
Computed, not measured: a geometry-optimized Y2PdSeO structure at the PBE level of DFT.

Computed properties:
Total energy = -0.4947 Ry/atom
Formation energy (no corrections) = -1418 meV per atom
V = 19.03 A^3/atom

```
Y2PdSeO
1.0
4.762 0.000 0.000
0.000 4.762 0.000
0.000 0.000 4.197
Y Pd Se O
2 1 1 1
Cartesian
0.000 2.381 0.000
2.381 0.000 0.000
0.000 0.000 2.098
2.381 2.381 2.098
0.000 0.000 0.000
```

Record 10
Computed, not measured: a geometry-optimized SiPdO2 structure at the PBE level of DFT.

Computed properties:
Total energy = -0.4816 Ry/atom
Formation energy (no corrections) = -1419 meV per atom
V = 12.76 A^3/atom

```
SiPdO2
1.0
5.201 0.000 0.000
0.000 5.201 0.000
0.000 0.000 7.547
Si Pd O
4 4 8
Cartesian
0.000 0.000 0.000
0.000 2.601 1.887
2.601 0.000 5.660
2.601 2.601 3.773
0.000 0.000 3.773
0.000 2.601 5.660
2.601 0.000 1.887
2.601 2.601 0.000
0.280 1.300 0.943
1.300 2.881 2.830
1.300 4.921 6.603
2.320 1.300 4.717
2.881 3.901 4.717
3.901 0.280 6.603
3.901 2.320 2.830
4.921 3.901 0.943
```

Record 11
Computed, not measured: a geometry-optimized SiPdO2 structure at the PBE level of DFT.

Computed properties:
Total energy = -0.4134 Ry/atom
Formation energy (no corrections) = -491 meV per atom
V = 12.28 A^3/atom

```
SiPdO2
1.0
2.998 0.000 0.000
-1.499 2.597 0.000
0.000 0.000 18.928
Si Pd O
3 3 6
Cartesian
0.000 0.000 0.000
0.000 1.731 12.619
1.499 0.866 6.309
0.000 0.000 9.464
0.000 1.731 3.155
1.499 0.866 15.774
0.000 0.000 1.614
0.000 0.000 17.314
0.000 1.731 11.005
0.000 1.731 14.233
1.499 0.866 4.695
1.499 0.866 7.924
```

Record 12
Computed, not measured: a geometry-optimized SiPd2O structure at the PBE level of DFT.

Computed properties:
Total energy = -0.4035 Ry/atom
Formation energy (no corrections) = -299 meV per atom
Offset from the most stable computed form = 0.0 kJ/mol of atoms
V = 12.44 A^3/atom

```
SiPd2O
1.0
5.839 0.000 0.000
0.000 5.839 0.000
0.000 0.000 5.839
Si Pd O
4 8 4
Cartesian
0.000 0.000 0.000
0.000 2.920 2.920
2.920 0.000 2.920
2.920 2.920 0.000
1.460 1.460 1.460
1.460 1.460 4.379
1.460 4.379 1.460
1.460 4.379 4.379
4.379 1.460 1.460
4.379 1.460 4.379
4.379 4.379 1.460
4.379 4.379 4.379
0.000 0.000 2.920
0.000 2.920 0.000
2.920 0.000 0.000
2.920 2.920 2.920
```